# 1
Density functional theory data (PBE) for a geometry-optimized BaCaCeSnO6 structure.

```
BaCaCeSnO6
1.0
5.966 0.000 0.000
0.048 5.971 0.000
0.010 0.016 8.546
Ba Ca Ce Sn O
2 2 2 2 12
Cartesian
0.108 2.894 2.136 Ba
5.917 3.093 6.410 Ba
2.902 0.122 6.406 Ca
3.123 5.865 2.140 Ca
0.005 0.008 4.273 Ce
3.007 2.985 0.000 Ce
0.000 0.000 0.000 Sn
3.012 2.994 4.273 Sn
0.493 0.200 6.484 O
1.211 4.253 0.025 O
1.306 4.173 4.257 O
1.757 1.127 0.483 O
1.874 1.242 3.795 O
2.794 2.535 6.335 O
3.231 3.452 2.211 O
4.151 4.745 4.751 O
4.267 4.860 8.063 O
4.719 1.815 4.289 O
4.814 1.734 8.521 O
5.532 5.787 2.062 O
```

- energy (eV per atom) = -7.034
- DOS at the Fermi energy (states/eV per cell) = 0.0
- crystal system = triclinic
- E_form (uncorrected) (kJ/mol of atoms) = -257.93
- excess energy over the best structure of this formula in the dataset (meV/atom) = 0
- space group = P-1 (2)

# 2
Density functional theory data (PBE) for a geometry-optimized BaCaCeTiO6 structure.

```
BaCaCeTiO6
1.0
0.000 4.196 4.196
4.196 0.000 4.196
4.196 4.196 0.000
Ba Ca Ce Ti O
1 1 1 1 6
Cartesian
0.000 0.000 0.000 Ba
4.196 4.196 4.196 Ca
2.098 2.098 2.098 Ce
6.294 6.294 6.294 Ti
6.294 6.294 4.318 O
6.294 4.318 6.294 O
8.270 6.294 6.294 O
4.318 6.294 6.294 O
6.294 8.270 6.294 O
6.294 6.294 8.270 O
```

- energy (eV per atom) = -7.768
- DOS at the Fermi energy (states/eV per cell) = 0.0
- crystal system = cubic
- E_form (uncorrected) (kJ/mol of atoms) = -291.17
- space group = F-43m (216)

# 3
Density functional theory data (PBE) for a geometry-optimized BaCaCeZrO6 structure.

```
BaCaCeZrO6
1.0
0.000 4.325 4.325
4.325 0.000 4.325
4.325 4.325 0.000
Ba Ca Ce Zr O
1 1 1 1 6
Cartesian
0.000 0.000 0.000 Ba
4.325 4.325 4.325 Ca
2.162 2.162 2.162 Ce
6.487 6.487 6.487 Zr
6.487 6.487 4.383 O
6.487 4.383 6.487 O
8.591 6.487 6.487 O
4.383 6.487 6.487 O
6.487 8.591 6.487 O
6.487 6.487 8.591 O
```

- energy (eV per atom) = -7.870
- DOS at the Fermi energy (states/eV per cell) = 0.0
- crystal system = cubic
- E_form (uncorrected) (kJ/mol of atoms) = -294.73
- excess energy over the best structure of this formula in the dataset (meV/atom) = 110
- space group = F-43m (216)

# 4
Density functional theory data (PBE) for a geometry-optimized BaCaCeZrO6 structure.

```
BaCaCeZrO6
1.0
5.991 0.000 0.000
0.049 5.994 0.000
0.009 0.014 8.606
Ba Ca Ce Zr O
2 2 2 2 12
Cartesian
0.109 2.908 2.152 Ba
5.939 3.101 6.455 Ba
2.908 0.117 6.453 Ca
3.140 5.892 2.153 Ca
0.005 0.007 4.303 Ce
3.020 2.997 0.000 Ce
0.000 0.000 0.000 Zr
3.024 3.004 4.303 Zr
0.514 0.213 6.523 O
1.186 4.222 0.020 O
1.263 4.158 4.299 O
1.784 1.117 0.514 O
1.895 1.227 3.790 O
2.801 2.514 6.386 O
3.247 3.494 2.220 O
4.154 4.781 4.816 O
4.265 4.891 8.092 O
4.786 1.851 4.308 O
4.863 1.786 8.586 O
5.535 5.796 2.083 O
```

- energy (eV per atom) = -7.981
- DOS at the Fermi energy (states/eV per cell) = 0.0
- crystal system = triclinic
- E_form (uncorrected) (kJ/mol of atoms) = -305.38
- excess energy over the best structure of this formula in the dataset (meV/atom) = 0
- space group = P-1 (2)

# 5
Density functional theory data (PBE) for a geometry-optimized Ba2CaCeTe4 structure.

```
Ba2CaCeTe4
1.0
8.207 0.000 0.000
0.000 4.718 0.000
-2.733 0.000 7.853
Ba Ca Ce Te
2 1 1 4
Cartesian
0.000 0.000 0.000 Ba
4.104 2.359 0.000 Ba
-1.367 2.359 3.926 Ca
2.737 0.000 3.926 Ce
-0.003 0.000 5.675 Te
1.361 2.359 2.164 Te
4.113 2.359 5.688 Te
5.477 0.000 2.178 Te
```

- energy (eV per atom) = -4.644
- DOS at the Fermi energy (states/eV per cell) = 10.1
- crystal system = monoclinic
- E_form (uncorrected) (kJ/mol of atoms) = -154.45
- space group = P2/m (10)

# 6
Density functional theory data (PBE) for a geometry-optimized BaCa2CeTl4 structure.

```
BaCa2CeTl4
1.0
2.823 1.630 9.312
-2.823 1.630 9.312
0.000 -3.259 9.312
Ba Ca Ce Tl
1 2 1 4
Cartesian
0.000 0.000 0.000 Ba
0.000 0.000 6.960 Ca
0.000 0.000 20.975 Ca
0.000 0.000 13.968 Ce
0.000 0.000 3.587 Tl
0.000 0.000 10.667 Tl
0.000 0.000 17.268 Tl
0.000 0.000 24.348 Tl
```

- energy of formation (eV/atom) = -0.36
- energy (eV per atom) = -3.030
- DOS at the Fermi energy (states/eV per cell) = 11.0
- crystal system = trigonal
- space group = R-3m (166)

# 7
Density functional theory data (PBE) for a geometry-optimized BaCaCl3 structure.

```
BaCaCl3
1.0
5.393 0.000 0.000
0.000 5.393 0.000
0.000 0.000 5.393
Ba Ca Cl
1 1 3
Cartesian
0.000 0.000 0.000 Ba
2.696 2.696 2.696 Ca
0.000 2.696 2.696 Cl
2.696 0.000 2.696 Cl
2.696 2.696 0.000 Cl
```

- energy (eV per atom) = -3.855
- DOS at the Fermi energy (states/eV per cell) = 3.8
- crystal system = cubic
- E_form (uncorrected) (kJ/mol of atoms) = -189.37
- excess energy over the best structure of this formula in the dataset (meV/atom) = 0
- space group = Pm-3m (221)

# 8
Density functional theory data (PBE) for a geometry-optimized BaCaCl structure.

```
BaCaCl
1.0
4.121 0.000 0.000
-2.060 3.569 0.000
0.000 0.000 7.736
Ba Ca Cl
1 1 1
Cartesian
0.000 0.000 0.000 Ba
2.060 1.190 3.382 Ca
0.000 2.379 5.327 Cl
```

- energy (eV per atom) = -2.984
- DOS at the Fermi energy (states/eV per cell) = 2.5
- crystal system = trigonal
- E_form (uncorrected) (kJ/mol of atoms) = -102.28
- excess energy over the best structure of this formula in the dataset (meV/atom) = 104
- space group = P3m1 (156)

Please write out number 4 again, unchanged.
Density functional theory data (PBE) for a geometry-optimized BaCaCeZrO6 structure.

```
BaCaCeZrO6
1.0
5.991 0.000 0.000
0.049 5.994 0.000
0.009 0.014 8.606
Ba Ca Ce Zr O
2 2 2 2 12
Cartesian
0.109 2.908 2.152 Ba
5.939 3.101 6.455 Ba
2.908 0.117 6.453 Ca
3.140 5.892 2.153 Ca
0.005 0.007 4.303 Ce
3.020 2.997 0.000 Ce
0.000 0.000 0.000 Zr
3.024 3.004 4.303 Zr
0.514 0.213 6.523 O
1.186 4.222 0.020 O
1.263 4.158 4.299 O
1.784 1.117 0.514 O
1.895 1.227 3.790 O
2.801 2.514 6.386 O
3.247 3.494 2.220 O
4.154 4.781 4.816 O
4.265 4.891 8.092 O
4.786 1.851 4.308 O
4.863 1.786 8.586 O
5.535 5.796 2.083 O
```

- energy (eV per atom) = -7.981
- DOS at the Fermi energy (states/eV per cell) = 0.0
- crystal system = triclinic
- E_form (uncorrected) (kJ/mol of atoms) = -305.38
- excess energy over the best structure of this formula in the dataset (meV/atom) = 0
- space group = P-1 (2)

Q: Look up the DOS at the Fermi energy of the first one.
A: 0.0 states/eV per cell